No. 1
DFT (GGA-PBE) results for a geometry-optimized PrInSb2O8 structure.

Unit cell a=5.2817 b=5.2817 c=6.8203 alpha=112.78 beta=112.78 gamma=90.00
Fractional coordinates of all 12 atoms:
O1 0.9810 0.4091 0.3173
O2 0.7766 0.8382 0.1680
In1 0.0000 0.0000 0.0000
O3 0.0918 0.0190 0.6827
O4 0.5909 0.6638 0.6827
Pr1 0.7500 0.2500 0.5000
O5 0.1618 0.6087 0.8320
Sb1 0.2500 0.7500 0.5000
Sb2 0.5000 0.5000 0.0000
O6 0.6702 0.2234 0.8320
O7 0.3913 0.3298 0.1680
O8 0.3362 0.9082 0.3173

SG	I-4, No. 82
uncorrected formation energy	-1.78	eV/atom

***

No. 2
DFT (GGA-PBE) results for a geometry-optimized LaTbMgIn structure.

Unit cell a=5.4657 b=5.4657 c=5.4657 alpha=60.00 beta=60.00 gamma=60.00
Fractional coordinates of all 4 atoms:
La1 0.0000 0.0000 0.0000
In1 0.2500 0.2500 0.2500
Tb1 0.5000 0.5000 0.5000
Mg1 0.7500 0.7500 0.7500

SG	F-43m, No. 216
energy relative to the elements	-0.33	eV/atom